Record 1
A relaxed structure of Ce2NdPt2. Source: the Alexandria database, functional PBE.

Computed properties:
Space-group type: No. 12
DFT formation energy, meV/atom: -711
ΔE to the lowest computed polymorph, eV per atom: 0.155

abc: 4.277 4.277 7.319
angles: 105.10 105.10 90.90
Fractional coordinates of all 5 atoms:
Ce1 0.232 0.768 0.000
Ce2 0.768 0.232 0.000
Nd1 0.000 0.000 0.500
Pt1 0.407 0.407 0.306
Pt2 0.593 0.593 0.694

=====

Record 2
A relaxed structure of Ce3Nd2Pt4. Source: the Alexandria database, functional PBE.

Computed properties:
Space-group type: No. 14
DFT formation energy, meV/atom: -1002

abc: 8.030 7.758 7.585
angles: 90.00 110.22 90.00
Fractional coordinates of all 18 atoms:
Ce1 0.000 0.000 0.000
Ce2 0.000 0.500 0.500
Ce3 0.260 0.161 0.757
Ce4 0.260 0.339 0.257
Ce5 0.740 0.661 0.743
Ce6 0.740 0.839 0.243
Nd1 0.309 0.677 0.932
Nd2 0.309 0.823 0.432
Nd3 0.691 0.177 0.568
Nd4 0.691 0.323 0.068
Pt1 0.000 0.133 0.367
Pt2 0.000 0.367 0.867
Pt3 0.000 0.633 0.133
Pt4 0.000 0.867 0.633
Pt5 0.421 0.044 0.157
Pt6 0.421 0.456 0.657
Pt7 0.579 0.544 0.343
Pt8 0.579 0.956 0.843

=====

Record 3
A relaxed structure of CeNd2Pt3. Source: the Alexandria database, functional PBE.

Computed properties:
Space-group type: No. 15
DFT formation energy, meV/atom: -1055

abc: 7.244 7.244 8.343
angles: 106.77 106.77 48.14
Fractional coordinates of all 12 atoms:
Ce1 0.001 0.999 0.750
Ce2 0.999 0.001 0.250
Nd1 0.331 0.333 0.916
Nd2 0.333 0.331 0.416
Nd3 0.667 0.669 0.584
Nd4 0.669 0.667 0.084
Pt1 0.159 0.160 0.580
Pt2 0.160 0.159 0.080
Pt3 0.499 0.501 0.250
Pt4 0.501 0.499 0.750
Pt5 0.840 0.841 0.920
Pt6 0.841 0.840 0.420